Density functional theory data (PBE) for K4Pm after structural relaxation.

Lattice parameters (Å, degrees): 7.3443 7.3443 7.3443 90.00 90.00 90.00
Space group Pm-3m (No. 221)
Inequivalent atoms, fractional coordinates:
K: 0.0000 0.0000 0.0000 x1
K: 0.0000 0.5000 0.5000 x3
Pm: 0.5000 0.5000 0.5000 x1

total moment	3.39	μB per formula unit
energy of formation	0.70	eV/atom
D(E_F)	2.724	states/eV/atom